1.
Density functional theory data (PBE-GGA) for an optimized crystal structure of CaScCr2.

Cell and atoms, written as POSCAR:
```
CaScCr2
1.0
0.7428 -4.5241 1.8762
2.1458 -0.5208 4.4344
-2.6694 -1.5423 3.8775
Sc Cr Ca
1 2 1
Direct
0.5000 0.5000 0.5000
0.2500 0.2500 0.2500
0.7500 0.7500 0.7500
0.0000 0.0000 0.0000
```

Properties
Density of states at the Fermi level ... 1.19 states/eV per atom
E_tot ... -6.268 eV/atom
Formation enthalpy at 0 K ... 14.46 kcal/mol of atoms
Energy above the lowest structure with this stoichiometry ... 291 meV per atom

***

2.
Density functional theory data (PBE-GGA) for an optimized crystal structure of Ca3ScCr.

Cell and atoms, written as POSCAR:
```
Ca3ScCr
1.0
5.6366 0.0000 0.0000
0.0000 5.6366 0.0000
0.0000 0.0000 5.6366
Ca Cr Sc
3 1 1
Direct
0.0000 0.0000 0.5000
0.0000 0.5000 0.0000
0.5000 0.0000 0.0000
0.0000 0.0000 0.0000
0.5000 0.5000 0.5000
```

Properties
Density of states at the Fermi level ... 0.96 states/eV per atom
E_tot ... -3.669 eV/atom
Formation enthalpy at 0 K ... 16.68 kcal/mol of atoms
Energy above the lowest structure with this stoichiometry ... 0 meV per atom

***

> Which of these has the highest density of states at the Fermi level?

CaScCr2